Compound: Na2RePIr
Source: Alexandria via LeMat-Bulk
Functional: PBE
Structure: relaxed

abc: 5.590 4.607 5.590
angles: 90.00 90.00 90.00
Element x y z (fractional)
Na (0.500, 0.000, 0.000)
Re (0.000, 0.000, 0.000)
Ir (0.000, 0.500, 0.000)
P (0.500, 0.500, 0.500)
Na (0.000, 0.000, 0.500)

spin magnetization: 0.7064 μB/atom
formation energy: 1.6857 eV per atom
total DFT energy (no corrections): -4.19 eV per atom

=====

Compound: Na2P2IrRh
Source: Alexandria via LeMat-Bulk
Functional: PBE
Structure: relaxed

abc: 5.620 5.621 7.916
angles: 110.82 110.79 90.00
Element x y z (fractional)
Na (0.576, 0.822, 0.644)
Ir (0.500, 0.250, 0.000)
Na (0.068, 0.322, 0.644)
P (0.843, 0.098, 0.195)
Ir (0.500, 0.750, 0.000)
Rh (0.000, 0.750, 0.000)
P (0.157, 0.902, 0.805)
P (0.648, 0.402, 0.805)
P (0.352, 0.598, 0.195)
Rh (0.000, 0.250, 0.000)
Na (0.424, 0.178, 0.356)
Na (0.932, 0.678, 0.356)

spin magnetization: 0.0000 μB/atom
formation energy: -0.5437 eV per atom
total DFT energy (no corrections): -5.49 eV per atom

=====

Compound: NaP2IrRh
Source: Alexandria via LeMat-Bulk
Functional: PBE
Structure: relaxed

abc: 4.012 4.012 5.666
angles: 110.73 110.73 90.00
Element x y z (fractional)
Rh (0.750, 0.250, 0.500)
Na (0.000, 0.000, 0.000)
P (0.620, 0.620, 0.240)
P (0.380, 0.380, 0.760)
Ir (0.250, 0.750, 0.500)

spin magnetization: 0.0000 μB/atom
formation energy: -0.6001 eV per atom
total DFT energy (no corrections): -6.27 eV per atom

=====

Compound: NaP2IrRu
Source: Alexandria via LeMat-Bulk
Functional: PBE
Structure: relaxed

abc: 4.029 4.029 5.826
angles: 110.23 110.23 90.00
Element x y z (fractional)
Ru (0.750, 0.250, 0.500)
Ir (0.250, 0.750, 0.500)
P (0.368, 0.368, 0.736)
Na (0.000, 0.000, 0.000)
P (0.632, 0.632, 0.264)

spin magnetization: 0.0000 μB/atom
formation energy: -0.6011 eV per atom
total DFT energy (no corrections): -6.66 eV per atom

=====

Compound: NaP2IrS
Source: Alexandria via LeMat-Bulk
Functional: PBE
Structure: relaxed

abc: 4.485 4.485 5.523
angles: 90.00 90.00 90.00
Element x y z (fractional)
P (0.000, 0.500, 0.000)
Ir (0.000, 0.000, 0.000)
S (0.000, 0.000, 0.500)
Na (0.500, 0.500, 0.500)
P (0.500, 0.000, 0.000)

formation energy from raw total energies: 1.1 eV per formula unit
spin magnetization: 0.0000 μB/atom
E above lowest polymorph: 0.000 eV per formula unit
total DFT energy (no corrections): -4.82 eV per atom

=====

Compound: NaP2IrS
Source: Alexandria via LeMat-Bulk
Functional: PBE
Structure: relaxed

abc: 4.623 4.623 4.628
angles: 90.00 90.00 90.00
Element x y z (fractional)
P (0.000, 0.500, 0.000)
Ir (0.500, 0.500, 0.500)
P (0.500, 0.000, 0.000)
Na (0.000, 0.000, 0.000)
S (0.000, 0.000, 0.500)

formation energy from raw total energies: 9.5 eV per formula unit
spin magnetization: 0.0000 μB/atom
E above lowest polymorph: 8.445 eV per formula unit
total DFT energy (no corrections): -3.13 eV per atom

=====

Compound: NaSnP2Ir4
Source: Alexandria via LeMat-Bulk
Functional: PBE
Structure: relaxed

abc: 4.090 4.090 8.152
angles: 90.00 90.00 90.00
Element x y z (fractional)
P (0.500, 0.500, 0.647)
P (0.500, 0.500, 0.353)
Ir (0.500, 0.000, 0.778)
Ir (0.000, 0.500, 0.778)
Ir (0.500, 0.000, 0.222)
Ir (0.000, 0.500, 0.222)
Na (0.000, 0.000, 0.500)
Sn (0.000, 0.000, 0.000)

spin magnetization: 0.0000 μB/atom
formation energy: -0.3806 eV per atom
total DFT energy (no corrections): -6.83 eV per atom

=====

Compound: NaSn2PIr
Source: Alexandria via LeMat-Bulk
Functional: PBE
Structure: relaxed

abc: 5.078 4.747 5.078
angles: 90.00 90.00 90.00
Element x y z (fractional)
Na (0.000, 0.500, 0.000)
P (0.000, 0.000, 0.000)
Sn (0.000, 0.000, 0.500)
Ir (0.500, 0.500, 0.500)
Sn (0.500, 0.000, 0.000)

spin magnetization: 0.0000 μB/atom
formation energy: 0.8338 eV per atom
total DFT energy (no corrections): -3.89 eV per atom

=====

Compound: NaTcP2Ir
Source: Alexandria via LeMat-Bulk
Functional: PBE
Structure: relaxed

abc: 4.104 4.104 5.605
angles: 111.48 111.48 90.00
Element x y z (fractional)
Tc (0.750, 0.250, 0.500)
P (0.371, 0.371, 0.742)
P (0.629, 0.629, 0.258)
Na (0.000, 0.000, 0.000)
Ir (0.250, 0.750, 0.500)

spin magnetization: 0.0000 μB/atom
formation energy: -0.5564 eV per atom
E above lowest polymorph: 0.000 eV per formula unit
total DFT energy (no corrections): -6.83 eV per atom

=====

Compound: NaTcP2Ir
Source: Alexandria via LeMat-Bulk
Functional: PBE
Structure: relaxed

abc: 4.520 4.435 4.520
angles: 90.00 90.00 90.00
Element x y z (fractional)
P (0.500, 0.000, 0.000)
Tc (0.500, 0.500, 0.500)
Na (0.000, 0.000, 0.000)
Ir (0.000, 0.500, 0.000)
P (0.000, 0.000, 0.500)

spin magnetization: 0.0010 μB/atom
formation energy: 2.2161 eV per atom
E above lowest polymorph: 13.863 eV per formula unit
total DFT energy (no corrections): -4.06 eV per atom

=====

Compound: NaTh2P3Ir12
Source: Alexandria via LeMat-Bulk
Functional: PBE
Structure: relaxed

abc: 6.804 6.804 6.804
angles: 85.07 85.07 85.07
Element x y z (fractional)
P (0.500, 0.000, 0.000)
Th (0.295, 0.295, 0.295)
Ir (0.820, 0.820, 0.327)
Ir (0.138, 0.607, 0.607)
Ir (0.393, 0.393, 0.862)
Ir (0.820, 0.327, 0.820)
Th (0.705, 0.705, 0.705)
P (0.000, 0.000, 0.500)
Na (0.000, 0.000, 0.000)
Ir (0.673, 0.180, 0.180)
P (0.000, 0.500, 0.000)
Ir (0.862, 0.393, 0.393)
Ir (0.327, 0.820, 0.820)
Ir (0.180, 0.180, 0.673)
Ir (0.607, 0.138, 0.607)
Ir (0.393, 0.862, 0.393)
Ir (0.607, 0.607, 0.138)
Ir (0.180, 0.673, 0.180)

spin magnetization: 0.0000 μB/atom
formation energy: -0.0523 eV per atom
total DFT energy (no corrections): -7.76 eV per atom

=====

Compound: NaVPIr2
Source: Alexandria via LeMat-Bulk
Functional: PBE
Structure: relaxed

abc: 4.513 4.923 4.513
angles: 90.00 90.00 90.00
Element x y z (fractional)
V (0.000, 0.000, 0.000)
Ir (0.000, 0.000, 0.500)
P (0.500, 0.500, 0.500)
Na (0.000, 0.500, 0.000)
Ir (0.500, 0.000, 0.000)

spin magnetization: 0.1779 μB/atom
formation energy: 1.3413 eV per atom
total DFT energy (no corrections): -5.37 eV per atom